A relaxed GdHoMg2 crystal. Source: Alexandria via LeMat-Bulk, functional PBE.

Cell and atoms, written as extended XYZ:
```
4
Lattice="0.000 3.803 3.803 3.803 0.000 3.803 3.803 3.803 0.000" Properties=species:S:1:pos:R:3 pbc="T T T"
Gd 0.000 0.000 0.000
Ho 3.803 3.803 3.803
Mg 1.901 1.901 1.901
Mg 5.704 5.704 5.704
```

E above lowest polymorph	5	meV/atom
DOS(E_F)	4.04	states/eV per cell
uncorrected energy	-22.206	eV/cell
volume	110	Å³/cell
magnetic moment	7.819	μB/f.u.
formation enthalpy at 0 K	-0.090	eV per atom
symmetry	Fm-3m
crystal system	cubic

=====

A relaxed HgSb2Te crystal. Source: Alexandria via LeMat-Bulk, functional PBE.

Cell and atoms, written as extended XYZ:
```
4
Lattice="-2.051 2.208 6.612 2.051 -2.208 6.612 2.051 2.208 -6.612" Properties=species:S:1:pos:R:3 pbc="T T T"
Hg 0.000 0.000 0.000
Sb 2.051 0.000 3.642
Sb 0.000 0.000 5.944
Te 0.000 2.208 2.638
```

E above lowest polymorph	109	meV/atom
DOS(E_F)	2.19	states/eV per cell
uncorrected energy	-11.116	eV/cell
volume	120	Å³/cell
raw formation energy	13.8	kJ per mole of atoms
magnetic moment	0.000	μB/f.u.
symmetry	Imm2
crystal system	orthorhombic

=====

A relaxed CaPS2I crystal. Source: Alexandria via LeMat-Bulk, functional PBE.

Cell and atoms, written as extended XYZ:
```
5
Lattice="5.211 0.000 0.000 0.000 5.211 0.000 0.000 0.000 5.743" Properties=species:S:1:pos:R:3 pbc="T T T"
Ca 0.000 0.000 0.000
P 0.000 0.000 2.872
S 0.000 2.606 0.000
S 2.606 0.000 0.000
I 2.606 2.606 2.872
```

E above lowest polymorph	292	meV/atom
DOS(E_F)	6.04	states/eV per cell
uncorrected energy	-14.517	eV/cell
volume	156	Å³/cell
raw formation energy	52.1	kJ per mole of atoms
magnetic moment	2.452	μB/f.u.
symmetry	P4/mmm
crystal system	tetragonal

=====

A relaxed TmBeH2O4 crystal. Source: Alexandria via LeMat-Bulk, functional PBE.

Cell and atoms, written as extended XYZ:
```
8
Lattice="-2.146 2.638 2.880 2.146 -2.638 2.880 2.146 2.638 -2.880" Properties=species:S:1:pos:R:3 pbc="T T T"
Tm 0.000 0.000 0.000
Be 0.000 0.000 2.880
H 2.146 0.000 1.887
H 0.000 2.638 0.993
O 1.010 1.931 -0.977
O 1.136 0.707 1.903
O 1.136 -0.707 3.856
O 1.010 3.344 0.977
```

DOS(E_F)	2.68	states/eV per cell
uncorrected energy	-50.255	eV/cell
volume	65	Å³/cell
magnetic moment	0.924	μB/f.u.
symmetry	I222
crystal system	orthorhombic

=====

A relaxed BaSc crystal. Source: Alexandria via LeMat-Bulk, functional PBE.

Cell and atoms, written as extended XYZ:
```
2
Lattice="2.129 -2.935 0.000 2.129 2.935 0.000 0.000 0.000 6.007" Properties=species:S:1:pos:R:3 pbc="T T T"
Ba 0.000 0.000 0.000
Sc 2.129 0.000 3.003
```

E above lowest polymorph	254	meV/atom
DOS(E_F)	3.54	states/eV per cell
uncorrected energy	-7.275	eV/cell
volume	75	Å³/cell
magnetic moment	0.240	μB/f.u.
formation enthalpy at 0 K	0.490	eV per atom
symmetry	Cmmm
crystal system	orthorhombic

=====

A relaxed Pr2Sb2H crystal. Source: Alexandria via LeMat-Bulk, functional PBE.

Cell and atoms, written as extended XYZ:
```
10
Lattice="2.254 -9.409 0.000 2.254 9.409 0.000 0.000 0.000 6.350" Properties=species:S:1:pos:R:3 pbc="T T T"
Pr 2.254 7.718 3.175
Pr 2.254 3.147 3.458
Pr 2.254 -3.147 0.283
Pr 2.254 -7.718 0.000
Sb 2.254 3.955 0.245
Sb 2.254 0.084 1.722
Sb 2.254 -0.084 4.897
Sb 2.254 -3.955 3.420
H 2.254 7.020 0.959
H 2.254 -7.020 4.134
```

DOS(E_F)	1.71	states/eV per cell
uncorrected energy	-50.823	eV/cell
volume	269	Å³/cell
magnetic moment	0.000	μB/f.u.
symmetry	Cmc2_1
crystal system	orthorhombic